Entry from the Open Quantum Materials Database: a geometry-optimized NbTeAu structure (PBE).

The structure in CIF format:
```
data_NbTeAu
_chemical_formula_sum 'Nb1 Te1 Au1'
_space_group_name_H-M_alt 'P 1'
_space_group_IT_number 1
_cell_length_a 4.600
_cell_length_b 4.600
_cell_length_c 4.600
_cell_angle_alpha 60.00
_cell_angle_beta 60.00
_cell_angle_gamma 60.00
loop_
_space_group_symop_operation_xyz
'x,y,z'
loop_
_atom_site_label
_atom_site_type_symbol
_atom_site_fract_x
_atom_site_fract_y
_atom_site_fract_z
Te1 Te 0.000 0.000 0.000
Nb1 Nb 0.750 0.750 0.750
Au1 Au 0.250 0.250 0.250
```

Results
E_tot (eV per atom): -5.086
SG: F-43m